(1)
An optimized crystal structure of LaTm2In3, computed with GGA-PBE.

Unit cell a=3.7594 b=3.7594 c=11.6003 alpha=90.00 beta=90.00 gamma=90.00
Last column: nearest neighbours and their distance in Å.
Atoms (fractional coordinates):
La1 0.5000 0.5000 0.5000  8 In 3.43, 4 La 3.76
Tm1 0.5000 0.5000 0.8424  8 In 3.21-3.23
Tm2 0.5000 0.5000 0.1576  8 In 3.21-3.23
In1 0.0000 0.0000 0.0000  8 Tm 3.23
In2 0.0000 0.0000 0.6865  4 Tm 3.21, 4 La 3.43
In3 0.0000 0.0000 0.3135  4 Tm 3.21, 4 La 3.43

Density of states at the Fermi level, states/eV per cell: 3.31
SG: P4/mmm, No. 123
ΔE_f, eV per atom: -0.464

(2)
An optimized crystal structure of La5Tm2In, computed with GGA-PBE.

Unit cell a=7.0343 b=7.0342 c=7.0337 alpha=108.08 beta=108.09 gamma=112.30
Last column: nearest neighbours and their distance in Å.
Atoms (fractional coordinates):
La1 0.2780 0.2783 0.5004  4 La 3.51-3.92, 2 In 3.52, 4 Tm 3.52
La2 0.2784 0.7777 0.0000  4 La 3.51-3.92, 4 Tm 3.52, 2 In 3.52
La3 0.7778 0.2780 0.0000  4 Tm 3.52, 2 In 3.52, 4 La 3.52-3.92
La4 0.7776 0.7779 0.4996  4 La 3.51-3.92, 2 In 3.52, 4 Tm 3.52
La5 0.2773 0.2767 0.0000  8 La 3.51-3.52, 2 In 3.91-3.93
Tm1 0.2777 0.7781 0.5000  8 La 3.52, 2 Tm 3.92
Tm2 0.7778 0.2782 0.5000  8 La 3.52, 2 Tm 3.92
In1 0.7784 0.7781 0.0000  10 La 3.52-3.93

Density of states at the Fermi level, states/eV per cell: 11.10
SG: I4mm, No. 107
ΔE_f, eV per atom: -0.058

(3)
An optimized crystal structure of La2Tm2In3, computed with GGA-PBE.

Unit cell a=5.3317 b=8.4090 c=5.4724 alpha=71.07 beta=89.97 gamma=108.47
Last column: nearest neighbours and their distance in Å.
Atoms (fractional coordinates):
La1 0.8738 0.7480 0.6258  6 In 3.24-3.33
La2 0.1262 0.2520 0.3742  6 In 3.24-3.33
Tm1 0.6186 0.2372 0.8806  6 In 3.20-3.37, 1 Tm 3.56
Tm2 0.3814 0.7628 0.1194  6 In 3.20-3.37, 1 Tm 3.56
In1 0.0000 0.0000 0.0000  4 Tm 3.20, 4 La 3.32-3.33
In2 0.7495 0.4984 0.2501  4 La 3.24-3.32, 4 Tm 3.32-3.37
In3 0.2505 0.5016 0.7499  4 La 3.24-3.32, 4 Tm 3.32-3.37

Density of states at the Fermi level, states/eV per cell: 5.55
SG: C2/m, No. 12
Energy above the lowest structure with this stoichiometry, meV/atom: 7
ΔE_f, eV per atom: -0.323

(4)
An optimized crystal structure of La6TmIn5, computed with GGA-PBE.

Unit cell a=5.1431 b=9.2932 c=9.4079 alpha=119.60 beta=105.83 gamma=90.00
Last column: nearest neighbours and their distance in Å.
Atoms (fractional coordinates):
Tm1 0.0000 0.0000 0.0000  4 In 3.50, 8 La 3.55-3.60
In1 0.6521 0.1524 0.3049  8 La 3.40-3.54, 2 Tm 3.50, 2 In 3.78-3.79
In2 0.3316 0.3310 0.6620  8 La 3.41-3.45, 4 In 3.67-3.79
In3 0.0000 0.5000 0.0000  8 La 3.39-3.49, 4 In 3.67-3.68
In4 0.6684 0.6690 0.3380  8 La 3.41-3.45, 4 In 3.67-3.79
In5 0.3479 0.8476 0.6951  8 La 3.40-3.54, 2 Tm 3.50, 2 In 3.78-3.79
La1 0.8285 0.5690 0.6557  7 In 3.41-3.54, 4 La 3.53-3.71, 1 Tm 3.60
La2 0.8285 0.0867 0.6558  7 In 3.41-3.53, 4 La 3.53-3.71, 1 Tm 3.60
La3 0.5000 0.7373 0.0000  6 In 3.39-3.43, 2 Tm 3.55, 4 La 3.71
La4 0.5000 0.2627 0.0000  6 In 3.39-3.43, 2 Tm 3.55, 4 La 3.71
La5 0.1715 0.9133 0.3442  7 In 3.41-3.53, 4 La 3.53-3.71, 1 Tm 3.60
La6 0.1715 0.4310 0.3443  7 In 3.41-3.54, 4 La 3.53-3.71, 1 Tm 3.60

Density of states at the Fermi level, states/eV per cell: 12.68
SG: Immm, No. 71
ΔE_f, eV per atom: -0.408

(5)
An optimized crystal structure of La8TmIn2, computed with GGA-PBE.

Unit cell a=5.8232 b=8.8331 c=8.8331 alpha=61.42 beta=80.92 gamma=80.92
Last column: nearest neighbours and their distance in Å.
Atoms (fractional coordinates):
La1 0.2661 0.1611 0.5248  2 In 3.21-3.59, 4 La 3.28-3.57
La2 0.2661 0.5248 0.1611  2 In 3.21-3.59, 4 La 3.28-3.57
La3 0.7339 0.8389 0.4752  2 In 3.21-3.59, 4 La 3.28-3.57
La4 0.2398 0.5533 0.5533  4 La 3.16-3.49, 1 In 3.19
La5 0.7339 0.4752 0.8389  2 In 3.21-3.59, 4 La 3.28-3.57
La6 0.4065 0.1140 0.1140  1 Tm 3.18, 2 In 3.41-3.42, 1 La 3.43
La7 0.5935 0.8860 0.8860  1 Tm 3.18, 2 In 3.41-3.42, 1 La 3.43
La8 0.7602 0.4467 0.4467  4 La 3.16-3.49, 1 In 3.19
Tm1 0.0000 0.0000 0.0000  2 La 3.18, 2 In 3.49
In1 0.8485 0.2332 0.2332  5 La 3.19-3.42, 1 Tm 3.49
In2 0.1515 0.7668 0.7668  5 La 3.19-3.42, 1 Tm 3.49

Density of states at the Fermi level, states/eV per cell: 13.82
SG: C2/m, No. 12
Energy above the lowest structure with this stoichiometry, meV/atom: 172
ΔE_f, eV per atom: 0.033

(6)
An optimized crystal structure of La3Tm4In2, computed with GGA-PBE.

Unit cell a=6.4258 b=9.4655 c=9.4655 alpha=85.38 beta=83.78 gamma=83.78
Last column: nearest neighbours and their distance in Å.
Atoms (fractional coordinates):
La1 0.9179 0.0397 0.1674  2 In 3.17-3.42, 1 La 3.35, 1 Tm 3.44
La2 0.5821 0.8326 0.9603  2 In 3.17-3.42, 1 La 3.35, 1 Tm 3.44
La3 0.0821 0.9603 0.8326  2 In 3.17-3.42, 1 La 3.35, 1 Tm 3.44
La4 0.4179 0.1674 0.0397  2 In 3.17-3.42, 1 La 3.35, 1 Tm 3.44
La5 0.2500 0.4687 0.5313  2 La 3.31, 2 Tm 3.32, 4 In 3.39-3.65
La6 0.7500 0.5313 0.4687  2 La 3.31, 2 Tm 3.32, 4 In 3.39-3.65
Tm1 0.4248 0.8691 0.3155  1 In 3.01
Tm2 0.0752 0.6845 0.1309  1 In 3.01
Tm3 0.5752 0.1309 0.6845  1 In 3.01
Tm4 0.9248 0.3155 0.8691  1 In 3.01
Tm5 0.0843 0.1554 0.4902  2 Tm 3.23-3.60, 3 In 3.24-3.61, 2 La 3.32-3.60
Tm6 0.4157 0.5098 0.8446  2 Tm 3.23-3.60, 3 In 3.24-3.61, 2 La 3.32-3.60
Tm7 0.9157 0.8446 0.5098  2 Tm 3.23-3.60, 3 In 3.24-3.61, 2 La 3.32-3.60
Tm8 0.5843 0.4902 0.1554  2 Tm 3.23-3.60, 3 In 3.24-3.61, 2 La 3.32-3.60
In1 0.5652 0.2048 0.3702  3 Tm 3.01-3.25, 1 La 3.17
In2 0.9348 0.6298 0.7952  3 Tm 3.01-3.25, 1 La 3.17
In3 0.4348 0.7952 0.6298  3 Tm 3.01-3.25, 1 La 3.17
In4 0.0652 0.3702 0.2048  3 Tm 3.01-3.25, 1 La 3.17

Density of states at the Fermi level, states/eV per cell: 19.95
SG: C2/c, No. 15
ΔE_f, eV per atom: -0.098